# 1
Here is PrRhPb2 after structural relaxation from the Alexandria database. Energies are from GGA-PBE.

a b c (Å): 6.127 7.610 17.339
angles (deg): 90.00 90.00 90.00
Sites, in units of the cell vectors:
Pb: 0.020 0.958 0.785
Pb: 0.520 0.042 0.715
Pb: 0.252 0.462 0.966
Pb: 0.752 0.538 0.534
Pb: 0.248 0.462 0.466
Pb: 0.980 0.042 0.215
Pb: 0.252 0.038 0.966
Pb: 0.752 0.962 0.534
Pb: 0.248 0.038 0.466
Pb: 0.520 0.458 0.715
Pb: 0.748 0.962 0.034
Pb: 0.480 0.958 0.285
Pb: 0.480 0.542 0.285
Pb: 0.980 0.458 0.215
Pb: 0.748 0.538 0.034
Pb: 0.020 0.542 0.785
Pr: 0.025 0.250 0.644
Pr: 0.256 0.750 0.608
Pr: 0.244 0.750 0.108
Pr: 0.975 0.750 0.356
Pr: 0.756 0.250 0.892
Pr: 0.525 0.750 0.856
Pr: 0.744 0.250 0.392
Pr: 0.475 0.250 0.144
Rh: 0.970 0.750 0.921
Rh: 0.292 0.250 0.835
Rh: 0.030 0.250 0.079
Rh: 0.208 0.250 0.335
Rh: 0.708 0.750 0.165
Rh: 0.792 0.750 0.665
Rh: 0.530 0.750 0.421
Rh: 0.470 0.250 0.579

Output
D(E_F) (states/eV/cell): 15.58
Symmetry: No. 62
DFT formation energy (meV/atom): -433
Density (g cm⁻³): 10.816

# 2
Here is Pr2RhPb after structural relaxation from the Alexandria database. Energies are from GGA-PBE.

a b c (Å): 4.404 4.405 7.151
angles (deg): 90.00 90.00 120.00
Sites, in units of the cell vectors:
Pb: 0.000 0.500 0.500
Rh: 0.000 0.500 0.000
Pr: 0.667 0.833 0.798
Pr: 0.333 0.167 0.202

Output
D(E_F) (states/eV/cell): 2.90
Symmetry: No. 164
DFT formation energy (meV/atom): -479
Density (g cm⁻³): 8.180
Offset from the most stable computed form (meV/atom): 93